(1)
An optimized crystal structure of BeZnCoSn, computed with PBE-GGA.

abc: 6.0086 6.0086 6.0086
angles: 90.00 90.00 90.00
Closest atoms and distances in Å follow each position.
Space group F-43m (No. 216)
Unique sites:
Be1 0.0000 0.0000 0.0000 (multiplicity 4)  4 Sn 2.60, 4 Zn 2.60
Zn1 0.2500 0.2500 0.2500 (multiplicity 4)  4 Co 2.60, 4 Be 2.60
Co1 0.0000 0.0000 0.5000 (multiplicity 4)  4 Sn 2.60, 4 Zn 2.60
Sn1 0.2500 0.2500 0.7500 (multiplicity 4)  4 Co 2.60, 4 Be 2.60


(2)
An optimized crystal structure of BeZnCoSn, computed with PBE-GGA.

abc: 6.0334 6.0334 6.0334
angles: 90.00 90.00 90.00
Closest atoms and distances in Å follow each position.
Space group F-43m (No. 216)
Unique sites:
Be1 0.0000 0.0000 0.0000 (multiplicity 4)  4 Sn 2.61, 4 Co 2.61
Zn1 0.0000 0.0000 0.5000 (multiplicity 4)  4 Co 2.61, 4 Sn 2.61
Co1 0.2500 0.2500 0.2500 (multiplicity 4)  4 Be 2.61, 4 Zn 2.61
Sn1 0.2500 0.2500 0.7500 (multiplicity 4)  4 Be 2.61, 4 Zn 2.61


(3)
An optimized crystal structure of ZrBeCoSn, computed with PBE-GGA.

abc: 6.2452 6.2452 6.2452
angles: 90.00 90.00 90.00
Closest atoms and distances in Å follow each position.
Space group F-43m (No. 216)
Unique sites:
Zr1 0.0000 0.0000 0.0000 (multiplicity 4)  4 Co 2.70, 4 Be 2.70
Be1 0.2500 0.2500 0.2500 (multiplicity 4)  4 Zr 2.70, 4 Sn 2.70
Co1 0.2500 0.2500 0.7500 (multiplicity 4)  4 Zr 2.70, 4 Sn 2.70
Sn1 0.0000 0.0000 0.5000 (multiplicity 4)  4 Co 2.70, 4 Be 2.70


(4)
An optimized crystal structure of ZrBeCoSn, computed with PBE-GGA.

abc: 6.3498 6.3498 6.3498
angles: 90.00 90.00 90.00
Closest atoms and distances in Å follow each position.
Space group F-43m (No. 216)
Unique sites:
Zr1 0.0000 0.0000 0.0000 (multiplicity 4)  4 Be 2.75, 4 Sn 2.75
Be1 0.2500 0.2500 0.7500 (multiplicity 4)  4 Zr 2.75, 4 Co 2.75
Co1 0.0000 0.0000 0.5000 (multiplicity 4)  4 Sn 2.75, 4 Be 2.75
Sn1 0.2500 0.2500 0.2500 (multiplicity 4)  4 Zr 2.75, 4 Co 2.75


(5)
An optimized crystal structure of Sr2BeCo, computed with PBE-GGA.

abc: 7.0386 7.0386 7.0386
angles: 90.00 90.00 90.00
Closest atoms and distances in Å follow each position.
Space group F-43m (No. 216)
Unique sites:
Sr1 0.0000 0.0000 0.0000 (multiplicity 4)  4 Co 3.05, 4 Sr 3.05
Sr2 0.2500 0.2500 0.2500 (multiplicity 4)  4 Sr 3.05, 4 Be 3.05
Be1 0.0000 0.0000 0.5000 (multiplicity 4)  4 Sr 3.05, 4 Co 3.05
Co1 0.2500 0.2500 0.7500 (multiplicity 4)  4 Be 3.05, 4 Sr 3.05


(6)
An optimized crystal structure of SrTaBeCo, computed with PBE-GGA.

abc: 6.5877 6.5877 6.5877
angles: 90.00 90.00 90.00
Closest atoms and distances in Å follow each position.
Space group F-43m (No. 216)
Unique sites:
Sr1 0.0000 0.0000 0.0000 (multiplicity 4)  4 Co 2.85, 4 Be 2.85
Ta1 0.0000 0.0000 0.5000 (multiplicity 4)  4 Co 2.85, 4 Be 2.85
Be1 0.2500 0.2500 0.2500 (multiplicity 4)  4 Ta 2.85, 4 Sr 2.85
Co1 0.2500 0.2500 0.7500 (multiplicity 4)  4 Ta 2.85, 4 Sr 2.85


(7)
An optimized crystal structure of SrTaBeCo, computed with PBE-GGA.

abc: 6.3774 6.3774 6.3774
angles: 90.00 90.00 90.00
Closest atoms and distances in Å follow each position.
Space group F-43m (No. 216)
Unique sites:
Sr1 0.0000 0.0000 0.0000 (multiplicity 4)  4 Ta 2.76, 4 Co 2.76
Ta1 0.2500 0.2500 0.7500 (multiplicity 4)  4 Be 2.76, 4 Sr 2.76
Be1 0.0000 0.0000 0.5000 (multiplicity 4)  4 Co 2.76, 4 Ta 2.76
Co1 0.2500 0.2500 0.2500 (multiplicity 4)  4 Be 2.76, 4 Sr 2.76


(8)
An optimized crystal structure of SrTaBeCo, computed with PBE-GGA.

abc: 6.3912 6.3912 6.3912
angles: 90.00 90.00 90.00
Closest atoms and distances in Å follow each position.
Space group F-43m (No. 216)
Unique sites:
Sr1 0.0000 0.0000 0.0000 (multiplicity 4)  4 Ta 2.77, 4 Be 2.77
Ta1 0.2500 0.2500 0.7500 (multiplicity 4)  4 Co 2.77, 4 Sr 2.77
Be1 0.2500 0.2500 0.2500 (multiplicity 4)  4 Co 2.77, 4 Sr 2.77
Co1 0.0000 0.0000 0.5000 (multiplicity 4)  4 Ta 2.77, 4 Be 2.77


(9)
An optimized crystal structure of TaBe2Co, computed with PBE-GGA.

abc: 5.6435 5.6435 5.6435
angles: 90.00 90.00 90.00
Closest atoms and distances in Å follow each position.
Space group F-43m (No. 216)
Unique sites:
Ta1 0.0000 0.0000 0.0000 (multiplicity 4)  4 Be 2.44, 4 Co 2.44
Be1 0.0000 0.0000 0.5000 (multiplicity 4)  4 Co 2.44, 4 Be 2.44
Be2 0.2500 0.2500 0.7500 (multiplicity 4)  4 Ta 2.44, 4 Be 2.44
Co1 0.2500 0.2500 0.2500 (multiplicity 4)  4 Ta 2.44, 4 Be 2.44


(10)
An optimized crystal structure of TaBeTlCo, computed with PBE-GGA.

abc: 6.2578 6.2578 6.2578
angles: 90.00 90.00 90.00
Closest atoms and distances in Å follow each position.
Space group F-43m (No. 216)
Unique sites:
Ta1 0.0000 0.0000 0.0000 (multiplicity 4)  4 Be 2.71, 4 Tl 2.71
Be1 0.2500 0.2500 0.7500 (multiplicity 4)  4 Co 2.71, 4 Ta 2.71
Tl1 0.2500 0.2500 0.2500 (multiplicity 4)  4 Ta 2.71, 4 Co 2.71
Co1 0.0000 0.0000 0.5000 (multiplicity 4)  4 Tl 2.71, 4 Be 2.71


(11)
An optimized crystal structure of TaBeTlCo, computed with PBE-GGA.

abc: 6.1571 6.1571 6.1571
angles: 90.00 90.00 90.00
Closest atoms and distances in Å follow each position.
Space group F-43m (No. 216)
Unique sites:
Ta1 0.0000 0.0000 0.0000 (multiplicity 4)  4 Be 2.67, 4 Co 2.67
Be1 0.2500 0.2500 0.2500 (multiplicity 4)  4 Ta 2.67, 4 Tl 2.67
Tl1 0.0000 0.0000 0.5000 (multiplicity 4)  4 Co 2.67, 4 Be 2.67
Co1 0.2500 0.2500 0.7500 (multiplicity 4)  4 Ta 2.67, 4 Tl 2.67


(12)
An optimized crystal structure of BeCoTc, computed with PBE-GGA.

abc: 5.3111 5.3111 5.3111
angles: 90.00 90.00 90.00
Closest atoms and distances in Å follow each position.
Space group F-43m (No. 216)
Unique sites:
Be1 0.0000 0.0000 0.0000 (multiplicity 4)  4 Co 2.30
Co1 0.2500 0.2500 0.2500 (multiplicity 4)  4 Tc 2.30, 4 Be 2.30
Tc1 0.0000 0.0000 0.5000 (multiplicity 4)  4 Co 2.30


It is found that the VASP energy values, taken in the order of the records, are -3.781, -3.623, -5.999, -5.710, -2.746, -5.305, -4.891, -5.210, -6.783, -5.549, -5.873, -6.941 eV/atom.